Record 1
Below is a crystal of GeMoAs2Se relaxed with PBEsol, with properties calculated at the meta-GGA SCAN level.

Summary:
Space group: P4/mmm
Crystal system: tetragonal
Magnetization (μB/cell): 0.81

Lattice parameters (Å, degrees): 4.838 4.838 4.843 90.00 90.00 90.00
Element x y z (fractional)
Mo1 0.000 0.000 0.000
Ge1 0.500 0.500 0.500
As1 0.000 0.500 0.000
As2 0.500 0.000 0.000
Se1 0.000 0.000 0.500

=====

Record 2
Below is a crystal of GeAsN2O relaxed with PBEsol, with properties calculated at the meta-GGA SCAN level.

Summary:
Space group: P4/mmm
Crystal system: tetragonal
Magnetization (μB/cell): 0.00

Lattice parameters (Å, degrees): 3.741 3.752 3.752 90.00 90.00 90.00
Element x y z (fractional)
As1 0.000 0.000 0.000
Ge1 0.500 0.500 0.500
O1 0.500 0.000 0.000
N1 0.000 0.000 0.500
N2 0.000 0.500 0.000

=====

Record 3
Below is a crystal of GeAs2SeN relaxed with PBEsol, with properties calculated at the meta-GGA SCAN level.

Summary:
Space group: P4/mmm
Crystal system: tetragonal
Magnetization (μB/cell): 1.83

Lattice parameters (Å, degrees): 4.901 4.901 4.939 90.00 90.00 90.00
Element x y z (fractional)
As1 0.000 0.500 0.000
As2 0.500 0.000 0.000
Ge1 0.000 0.000 0.000
Se1 0.000 0.000 0.500
N1 0.500 0.500 0.500

=====

Record 4
Below is a crystal of GeTeAsN2 relaxed with PBEsol, with properties calculated at the meta-GGA SCAN level.

Summary:
Space group: P4/mmm
Crystal system: tetragonal
Magnetization (μB/cell): 1.48

Lattice parameters (Å, degrees): 3.887 3.887 5.550 90.00 90.00 90.00
Element x y z (fractional)
As1 0.000 0.000 0.000
Te1 0.000 0.000 0.500
Ge1 0.500 0.500 0.500
N1 0.000 0.500 0.000
N2 0.500 0.000 0.000

=====

Respective raw formation energy values: 0.6307; 0.6904; 1.6427; 1.3344 eV/atom.
Respective ρ values: 5.8; 6.0; 4.4; 6.0 g/cm³.